Record 1
This record from Alexandria via LeMat-Bulk describes an optimized crystal structure of TlB2N. The functional is PBE.

Structure (CIF):
```
data_TlB2N
_chemical_formula_sum 'Tl4 B8 N4'
_cell_length_a 4.689
_cell_length_b 4.689
_cell_length_c 8.210
_cell_angle_alpha 90.00
_cell_angle_beta 90.00
_cell_angle_gamma 90.00
_space_group_name_H-M_alt 'I -4 2 d'
_space_group_IT_number 122
_space_group_name_Hall 'I -4 2bw'
loop_
_atom_site_label
_atom_site_type_symbol
_atom_site_fract_x
_atom_site_fract_y
_atom_site_fract_z
_atom_site_occupancy
Tl1 Tl 0.000 0.000 0.000 1
B1 B 0.118 0.250 0.625 1
N1 N 0.000 0.000 0.500 1
```

As for the formation energy (no corrections): 3.27 eV/f.u. For the relative energy among the computed polymorphs, the calculation gives 0.0 kJ/mol of atoms.


Record 2
This record from Alexandria via LeMat-Bulk describes an optimized crystal structure of TlB3N. The functional is PBE.

Structure (CIF):
```
data_TlB3N
_chemical_formula_sum 'Tl1 B3 N1'
_cell_length_a 3.759
_cell_length_b 3.759
_cell_length_c 3.759
_cell_angle_alpha 90.00
_cell_angle_beta 90.00
_cell_angle_gamma 90.00
_space_group_name_H-M_alt 'P m -3 m'
_space_group_IT_number 221
_space_group_name_Hall '-P 4 2 3'
loop_
_atom_site_label
_atom_site_type_symbol
_atom_site_fract_x
_atom_site_fract_y
_atom_site_fract_z
_atom_site_occupancy
Tl1 Tl 0.000 0.000 0.000 1
B1 B 0.000 0.500 0.500 1
N1 N 0.500 0.500 0.500 1
```

As for the formation energy (no corrections): 10.47 eV/f.u. For the relative energy among the computed polymorphs, the calculation gives 0.0 kJ/mol of atoms.


Record 3
This record from Alexandria via LeMat-Bulk describes an optimized crystal structure of TlZnBN2. The functional is PBE.

Structure (CIF):
```
data_TlZnBN2
_chemical_formula_sum 'Tl1 Zn1 B1 N2'
_cell_length_a 4.278
_cell_length_b 4.278
_cell_length_c 5.631
_cell_angle_alpha 90.00
_cell_angle_beta 90.00
_cell_angle_gamma 90.00
_space_group_name_H-M_alt 'P 4/m m m'
_space_group_IT_number 123
_space_group_name_Hall '-P 4 2'
loop_
_atom_site_label
_atom_site_type_symbol
_atom_site_fract_x
_atom_site_fract_y
_atom_site_fract_z
_atom_site_occupancy
Tl1 Tl 0.000 0.000 0.000 1
Zn1 Zn 0.000 0.000 0.500 1
B1 B 0.500 0.500 0.500 1
N1 N 0.000 0.500 0.000 1
```

As for the formation energy (no corrections): 13.48 eV/f.u.


Record 4
This record from Alexandria via LeMat-Bulk describes an optimized crystal structure of TmB3N3. The functional is PBE.

Structure (CIF):
```
data_TmB3N3
_chemical_formula_sum 'Tm2 B6 N6'
_cell_length_a 4.779
_cell_length_b 4.779
_cell_length_c 4.779
_cell_angle_alpha 90.00
_cell_angle_beta 90.00
_cell_angle_gamma 90.00
_space_group_name_H-M_alt 'P m -3 n'
_space_group_IT_number 223
_space_group_name_Hall '-P 4n 2 3'
loop_
_atom_site_label
_atom_site_type_symbol
_atom_site_fract_x
_atom_site_fract_y
_atom_site_fract_z
_atom_site_occupancy
Tm1 Tm 0.000 0.000 0.000 1
B1 B 0.000 0.250 0.500 1
N1 N 0.000 0.500 0.250 1
```

As for the formation energy (no corrections): 1.75 eV/f.u.


Record 5
This record from Alexandria via LeMat-Bulk describes an optimized crystal structure of TmBN2. The functional is PBE.

Structure (CIF):
```
data_TmBN2
_chemical_formula_sum 'Tm3 B3 N6'
_cell_length_a 3.5619
_cell_length_b 3.5619
_cell_length_c 14.9384
_cell_angle_alpha 90.00
_cell_angle_beta 90.00
_cell_angle_gamma 120.00
_space_group_name_H-M_alt 'R -3 m'
_space_group_IT_number 166
_space_group_name_Hall '-R 3 2"'
loop_
_atom_site_label
_atom_site_type_symbol
_atom_site_fract_x
_atom_site_fract_y
_atom_site_fract_z
_atom_site_occupancy
Tm1 Tm 0.0000 0.0000 0.0000 1
B1 B 0.0000 0.0000 0.5000 1
N1 N 0.0000 0.0000 0.4103 1
```

As for the formation energy (no corrections): -5.71 eV/f.u. For the relative energy among the computed polymorphs, the calculation gives 0.0 kJ/mol of atoms.


Record 6
This record from Alexandria via LeMat-Bulk describes an optimized crystal structure of TmBN2. The functional is PBE.

Structure (CIF):
```
data_TmBN2
_chemical_formula_sum 'Tm2 B2 N4'
_cell_length_a 4.990
_cell_length_b 5.774
_cell_length_c 3.538
_cell_angle_alpha 90.00
_cell_angle_beta 90.00
_cell_angle_gamma 90.00
_space_group_name_H-M_alt 'P n n m'
_space_group_IT_number 58
loop_
_space_group_symop_operation_xyz
'x,y,z'
'-x,-y,-z'
'-x,-y,z'
'x,y,-z'
'x+1/2,-y+1/2,-z+1/2'
'-x+1/2,y+1/2,z+1/2'
'-x+1/2,y+1/2,-z+1/2'
'x+1/2,-y+1/2,z+1/2'
loop_
_atom_site_label
_atom_site_type_symbol
_atom_site_fract_x
_atom_site_fract_y
_atom_site_fract_z
_atom_site_occupancy
Tm1 Tm 0.000 0.000 0.000 1
B1 B 0.000 0.500 0.000 1
N1 N 0.223 0.370 0.000 1
```

As for the formation energy (no corrections): -5.45 eV/f.u. For the relative energy among the computed polymorphs, the calculation gives 6.3 kJ/mol of atoms.


Record 7
This record from Alexandria via LeMat-Bulk describes an optimized crystal structure of UBN. The functional is PBE.

Structure (CIF):
```
data_UBN
_chemical_formula_sum 'U4 B4 N4'
_cell_length_a 3.754
_cell_length_b 11.875
_cell_length_c 3.456
_cell_angle_alpha 90.00
_cell_angle_beta 90.00
_cell_angle_gamma 90.00
_space_group_name_H-M_alt 'C m c m'
_space_group_IT_number 63
_space_group_name_Hall '-C 2c 2'
loop_
_atom_site_label
_atom_site_type_symbol
_atom_site_fract_x
_atom_site_fract_y
_atom_site_fract_z
_atom_site_occupancy
U1 U 0.000 0.142 0.250 1
B1 B 0.000 0.483 0.250 1
N1 N 0.000 0.259 0.750 1
```

As for the formation energy (no corrections): -2.21 eV/f.u. For the relative energy among the computed polymorphs, the calculation gives 33.4 kJ/mol of atoms.


Record 8
This record from Alexandria via LeMat-Bulk describes an optimized crystal structure of UBN. The functional is PBE.

Structure (CIF):
```
data_UBN
_chemical_formula_sum 'U2 B2 N2'
_cell_length_a 3.555
_cell_length_b 3.555
_cell_length_c 6.038
_cell_angle_alpha 90.00
_cell_angle_beta 90.00
_cell_angle_gamma 90.00
_space_group_name_H-M_alt 'I 4 m m'
_space_group_IT_number 107
_space_group_name_Hall 'I 4 -2'
loop_
_atom_site_label
_atom_site_type_symbol
_atom_site_fract_x
_atom_site_fract_y
_atom_site_fract_z
_atom_site_occupancy
U1 U 0.000 0.000 0.000 1
B1 B 0.000 0.000 0.396 1
N1 N 0.000 0.000 0.629 1
```

As for the formation energy (no corrections): -1.73 eV/f.u. For the relative energy among the computed polymorphs, the calculation gives 48.6 kJ/mol of atoms.


Record 9
This record from Alexandria via LeMat-Bulk describes an optimized crystal structure of UBN. The functional is PBE.

Structure (CIF):
```
data_UBN
_chemical_formula_sum 'U4 B4 N4'
_cell_length_a 3.597
_cell_length_b 11.805
_cell_length_c 3.280
_cell_angle_alpha 90.00
_cell_angle_beta 90.00
_cell_angle_gamma 90.00
_space_group_name_H-M_alt 'C m c m'
_space_group_IT_number 63
_space_group_name_Hall '-C 2c 2'
loop_
_atom_site_label
_atom_site_type_symbol
_atom_site_fract_x
_atom_site_fract_y
_atom_site_fract_z
_atom_site_occupancy
U1 U 0.000 0.137 0.250 1
B1 B 0.000 0.466 0.250 1
N1 N 0.000 0.338 0.250 1
```

As for the formation energy (no corrections): -3.24 eV/f.u. For the relative energy among the computed polymorphs, the calculation gives 0.0 kJ/mol of atoms.


Record 10
This record from Alexandria via LeMat-Bulk describes an optimized crystal structure of V2BN. The functional is PBE.

Structure (CIF):
```
data_V2BN
_chemical_formula_sum 'V8 B4 N4'
_cell_length_a 5.257
_cell_length_b 5.257
_cell_length_c 5.257
_cell_angle_alpha 90.00
_cell_angle_beta 90.00
_cell_angle_gamma 90.00
_space_group_name_H-M_alt 'F m -3 m'
_space_group_IT_number 225
_space_group_name_Hall '-F 4 2 3'
loop_
_atom_site_label
_atom_site_type_symbol
_atom_site_fract_x
_atom_site_fract_y
_atom_site_fract_z
_atom_site_occupancy
V1 V 0.250 0.250 0.250 1
B1 B 0.000 0.000 0.000 1
N1 N 0.000 0.000 0.500 1
```

As for the formation energy (no corrections): 0.46 eV/f.u. For the relative energy among the computed polymorphs, the calculation gives 76.2 kJ/mol of atoms.